[1]
The following is a PBE calculation of an optimized crystal structure of TbHfGe, from OQMD via LeMat-Bulk.

Total energy, eV per atom: -6.667
Mass density, Mg/m³: 9.35
Magnetic moment, Bohr magnetons per cell: 0.0

Cell: 6.6290 6.6290 6.6290 Å, 90.00 90.00 90.00°
Space group F-43m (No. 216)
Unique sites:
Tb: 0.0000 0.0000 0.0000 x4
Hf: 0.0000 0.0000 0.5000 x4
Ge: 0.2500 0.2500 0.7500 x4

---

[2]
The following is a PBE calculation of an optimized crystal structure of TbPr2Mg3TlIn2, from OQMD via LeMat-Bulk.

Total energy, eV per atom: -3.357
Mass density, Mg/m³: 6.47
Magnetic moment, Bohr magnetons per cell: 0.0

Cell: 4.7465 13.2145 7.7554 Å, 90.00 90.00 90.00°
Space group Amm2 (No. 38)
Unique sites:
Tb: 0.0000 0.0000 0.0000 x2
Pr: 0.0000 0.2146 0.6427 x4
Mg: 0.5000 0.0000 0.6686 x2
Mg: 0.5000 0.1216 0.3054 x4
Tl: 0.0000 0.0000 0.4198 x2
In: 0.5000 0.1629 0.9284 x4

---

[3]
The following is a PBE calculation of an optimized crystal structure of CsAgWS3, from OQMD via LeMat-Bulk.

Total energy, eV per atom: -5.189
Mass density, Mg/m³: 5.83
Magnetic moment, Bohr magnetons per cell: 8.0

Cell: 3.8537 15.6297 9.8504 Å, 90.00 90.00 90.00°
Space group Cmcm (No. 63)
Unique sites:
Cs: 0.0000 0.2492 0.2500 x4
Ag: 0.0000 0.0463 0.7500 x4
W: 0.0000 0.5000 0.0000 x4
S: 0.0000 0.1038 0.5220 x8
S: 0.0000 0.4425 0.7500 x4

---

[4]
The following is a PBE calculation of an optimized crystal structure of ZrBPt2, from OQMD via LeMat-Bulk.

Total energy, eV per atom: -6.915
Mass density, Mg/m³: 13.31
Magnetic moment, Bohr magnetons per cell: 0.0

Cell: 6.2620 6.2620 6.2620 Å, 90.00 90.00 90.00°
Space group F-43m (No. 216)
Unique sites:
Zr: 0.0000 0.0000 0.0000 x4
B: 0.2500 0.2500 0.7500 x4
Pt: 0.0000 0.0000 0.5000 x4
Pt: 0.2500 0.2500 0.2500 x4

---

[5]
The following is a PBE calculation of an optimized crystal structure of ZrFeSbIr, from OQMD via LeMat-Bulk.

Total energy, eV per atom: -7.493
Mass density, Mg/m³: 11.17
Magnetic moment, Bohr magnetons per cell: 10.8
Energy above the lowest structure with this stoichiometry, meV per atom: 274

Cell: 6.4955 6.4955 6.4955 Å, 90.00 90.00 90.00°
Space group F-43m (No. 216)
Unique sites:
Zr: 0.0000 0.0000 0.0000 x4
Fe: 0.0000 0.0000 0.5000 x4
Sb: 0.2500 0.2500 0.2500 x4
Ir: 0.2500 0.2500 0.7500 x4

---

[6]
The following is a PBE calculation of an optimized crystal structure of Sc2Al2Ir, from OQMD via LeMat-Bulk.

Total energy, eV per atom: -6.004
Mass density, Mg/m³: 5.68
Magnetic moment, Bohr magnetons per cell: 0.0

Cell: 3.4990 3.4990 16.0417 Å, 90.00 90.00 90.00°
Space group I4/mmm (No. 139)
Unique sites:
Sc: 0.0000 0.0000 0.0929 x4
Al: 0.0000 0.5000 0.2500 x4
Ir: 0.0000 0.0000 0.5000 x2

---

[7]
The following is a PBE calculation of an optimized crystal structure of AsPdBr6, from OQMD via LeMat-Bulk.

Total energy, eV per atom: -2.286
Mass density, Mg/m³: 4.37

Cell: 10.0121 10.0121 10.0121 Å, 90.00 90.00 90.00°
Space group F-43m (No. 216)
Unique sites:
As: 0.0000 0.0000 0.0000 x4
Pd: 0.2500 0.2500 0.7500 x4
Br: 0.0000 0.0000 0.2488 x24

---

[8]
The following is a PBE calculation of an optimized crystal structure of HfCdMo, from OQMD via LeMat-Bulk.

Total energy, eV per atom: -6.077
Mass density, Mg/m³: 9.35
Magnetic moment, Bohr magnetons per cell: 7.6
Energy above the lowest structure with this stoichiometry, meV per atom: 227

Cell: 6.5013 6.5013 6.5013 Å, 90.00 90.00 90.00°
Space group F-43m (No. 216)
Unique sites:
Hf: 0.0000 0.0000 0.0000 x4
Cd: 0.2500 0.2500 0.7500 x4
Mo: 0.2500 0.2500 0.2500 x4